Computed, not measured: crystalline Er7Mg2In2 at its relaxed geometry at the PBE level of DFT.

Calculated values
electronic total energy	-39.0	eV for the cell shown
ΔH_f (0 K)	146	meV per atom

Cell: 6.559 6.559 8.746 Å, 90.00 90.00 117.68°
Element x y z (fractional)
Er  0.000  0.000  0.000
Er  0.000  0.500  0.304
Er  0.000  0.500  0.696
Er  0.500  0.000  0.304
Er  0.500  0.000  0.696
Er  0.500  0.500  0.208
Er  0.500  0.500  0.792
Mg  0.275  0.725  0.000
Mg  0.725  0.275  0.000
In  0.221  0.221  0.500
In  0.779  0.779  0.500